(1)
VASP calculation (PBE) on Ba3CeNb2O9 after structural relaxation.

Values from the calculation:
E_tot ... -119.7 eV per cell
Symmetry ... P-3m1 (164)
Volume ... 15.6 A^3/atom
N(E_F) ... 8.280 states/eV/cell
Density ... 6.255 g/cm3

Unit cell a=6.029 b=6.029 c=7.438 alpha=90.00 beta=90.00 gamma=120.00
Fractional coordinates of all 15 atoms:
Ba: 0.000 0.000 0.000
Ba: 0.333 0.667 0.675
Ba: 0.667 0.333 0.325
Ce: 0.000 0.000 0.500
Nb: 0.333 0.667 0.158
Nb: 0.667 0.333 0.842
O: 0.000 0.500 0.000
O: 0.175 0.350 0.317
O: 0.175 0.825 0.317
O: 0.350 0.175 0.683
O: 0.500 0.000 0.000
O: 0.500 0.500 0.000
O: 0.650 0.825 0.317
O: 0.825 0.175 0.683
O: 0.825 0.650 0.683

=====

(2)
VASP calculation (PBE) on Ba2CeNdO5 after structural relaxation.

Values from the calculation:
E_tot ... -131.1 eV per cell
Symmetry ... Cmc2_1 (36)
Volume ... 19.1 A^3/atom
N(E_F) ... 8.944 states/eV/cell
Density ... 6.171 g/cm3

Unit cell a=7.817 b=7.817 c=12.010 alpha=90.00 beta=90.00 gamma=152.06
Fractional coordinates of all 18 atoms:
Ba: 0.110 0.890 0.500
Ba: 0.138 0.862 0.070
Ba: 0.862 0.138 0.570
Ba: 0.890 0.110 0.000
Ce: 0.476 0.524 0.266
Ce: 0.524 0.476 0.766
Nd: 0.228 0.772 0.806
Nd: 0.772 0.228 0.306
O: 0.070 0.930 0.852
O: 0.275 0.725 0.440
O: 0.310 0.690 0.188
O: 0.381 0.619 0.822
O: 0.493 0.507 0.588
O: 0.507 0.493 0.088
O: 0.619 0.381 0.322
O: 0.690 0.310 0.688
O: 0.725 0.275 0.940
O: 0.930 0.070 0.352